(1)
A plane-wave DFT calculation with PBE was carried out for an optimized crystal structure of Ni5Pd3Br12.

POSCAR file:
```
Ni5Pd3Br12
1.0
-0.628 13.718 0.209
-0.068 -4.388 -13.014
-10.851 -5.181 6.635
Br Pd Ni
48 12 20
direct
0.312 0.452 0.832 Br
0.812 0.332 0.952 Br
0.188 0.519 0.640 Br
0.452 0.312 0.332 Br
0.379 0.360 0.548 Br
0.952 0.832 0.812 Br
0.168 0.048 0.688 Br
0.360 0.379 0.048 Br
0.668 0.188 0.548 Br
0.360 0.981 0.812 Br
0.121 0.952 0.140 Br
0.640 0.621 0.952 Br
0.312 0.860 0.981 Br
0.332 0.519 0.379 Br
0.621 0.981 0.668 Br
0.981 0.621 0.168 Br
0.812 0.481 0.360 Br
0.048 0.879 0.360 Br
0.640 0.019 0.188 Br
0.168 0.121 0.981 Br
0.548 0.688 0.668 Br
0.140 0.688 0.519 Br
0.860 0.312 0.481 Br
0.879 0.048 0.860 Br
0.379 0.019 0.332 Br
0.452 0.140 0.621 Br
0.019 0.379 0.832 Br
0.668 0.481 0.621 Br
0.481 0.812 0.860 Br
0.188 0.668 0.048 Br
0.481 0.668 0.121 Br
0.548 0.860 0.379 Br
0.860 0.548 0.879 Br
0.048 0.168 0.188 Br
0.519 0.332 0.879 Br
0.621 0.640 0.452 Br
0.688 0.140 0.019 Br
0.519 0.188 0.140 Br
0.121 0.168 0.481 Br
0.879 0.832 0.519 Br
0.832 0.879 0.019 Br
0.019 0.640 0.688 Br
0.332 0.812 0.452 Br
0.952 0.121 0.640 Br
0.981 0.360 0.312 Br
0.832 0.952 0.312 Br
0.688 0.548 0.168 Br
0.140 0.452 0.121 Br
0.625 0.250 0.375 Pd
0.375 0.750 0.625 Pd
0.125 0.250 0.875 Pd
0.750 0.375 0.125 Pd
0.250 0.125 0.375 Pd
0.875 0.750 0.125 Pd
0.375 0.625 0.250 Pd
0.875 0.125 0.250 Pd
0.625 0.375 0.750 Pd
0.125 0.875 0.750 Pd
0.750 0.875 0.625 Pd
0.250 0.625 0.875 Pd
0.875 0.250 0.625 Ni
0.625 0.750 0.875 Ni
0.500 0.000 0.500 Ni
0.500 0.500 0.500 Ni
0.500 0.000 0.000 Ni
0.000 0.500 0.000 Ni
0.750 0.625 0.375 Ni
0.250 0.375 0.625 Ni
0.375 0.250 0.125 Ni
0.000 0.000 0.500 Ni
0.500 0.500 0.000 Ni
0.250 0.875 0.125 Ni
0.125 0.375 0.250 Ni
0.750 0.125 0.875 Ni
0.625 0.875 0.250 Ni
0.375 0.125 0.750 Ni
0.000 0.500 0.500 Ni
0.875 0.625 0.750 Ni
0.000 0.000 0.000 Ni
0.125 0.750 0.375 Ni
```

## Properties
As for the space-group type: Ia-3d (230). The value obtained for the raw total energy is -260.49 eV per cell. The total magnetization is 16.32 μB per cell. As for the volume: 24.9 Å³/atom.



(2)
A plane-wave DFT calculation with PBE was carried out for an optimized crystal structure of NiPd3Br.

POSCAR file:
```
NiPd3Br
1.0
4.653 0.000 0.000
0.000 4.653 0.000
0.000 0.000 4.653
Pd Ni Br
3 1 1
direct
0.000 0.000 0.500 Pd
0.500 0.000 0.000 Pd
0.000 0.500 0.000 Pd
0.000 0.000 0.000 Ni
0.500 0.500 0.500 Br
```

## Properties
As for the space-group type: Pm-3m (221). The value obtained for the raw total energy is -19.20 eV per cell. The total magnetization is 1.41 μB per cell. As for the energy above the lowest structure with this stoichiometry: 0 meV/atom. As for the volume: 20.2 Å³/atom.



(3)
A plane-wave DFT calculation with PBE was carried out for an optimized crystal structure of NiPdBr6.

POSCAR file:
```
NiPdBr6
1.0
6.270 0.101 -1.222
-1.841 5.749 -2.842
0.107 -0.889 6.612
Br Ni Pd
6 1 1
direct
0.248 0.103 0.392 Br
0.763 0.237 0.237 Br
0.752 0.608 0.897 Br
0.248 0.392 0.103 Br
0.752 0.897 0.608 Br
0.237 0.763 0.763 Br
0.000 0.000 0.000 Ni
0.500 0.500 0.500 Pd
```

## Properties
As for the space-group type: C2/m (12). The value obtained for the raw total energy is -22.53 eV per cell. The total magnetization is 0.86 μB per cell. As for the volume: 27.8 Å³/atom.



(4)
A plane-wave DFT calculation with PBE was carried out for an optimized crystal structure of Ni2PdBr6.

POSCAR file:
```
Ni2PdBr6
1.0
3.746 0.000 0.000
-1.873 6.815 -2.717
0.000 -0.131 9.878
Br Pd Ni
6 1 2
direct
0.297 0.594 0.890 Br
0.041 0.081 0.788 Br
0.639 0.279 0.566 Br
0.959 0.919 0.212 Br
0.703 0.406 0.110 Br
0.361 0.721 0.434 Br
0.000 0.000 0.500 Pd
0.332 0.663 0.163 Ni
0.668 0.337 0.837 Ni
```

## Properties
As for the space-group type: C2/m (12). The value obtained for the raw total energy is -29.31 eV per cell. The total magnetization is 6.04 μB per cell. As for the volume: 27.9 Å³/atom.



(5)
A plane-wave DFT calculation with PBE was carried out for an optimized crystal structure of Ni3PdBr.

POSCAR file:
```
Ni3PdBr
1.0
4.316 0.000 0.000
0.000 4.316 0.000
0.000 0.000 4.316
Ni Br Pd
3 1 1
direct
0.000 0.000 0.500 Ni
0.000 0.500 0.000 Ni
0.500 0.000 0.000 Ni
0.000 0.000 0.000 Br
0.500 0.500 0.500 Pd
```

## Properties
As for the space-group type: Pm-3m (221). The value obtained for the raw total energy is -20.07 eV per cell. The total magnetization is 0.65 μB per cell. As for the energy above the lowest structure with this stoichiometry: 0 meV/atom. As for the volume: 16.1 Å³/atom.



(6)
A plane-wave DFT calculation with PBE was carried out for an optimized crystal structure of NiPd2Br8.

POSCAR file:
```
NiPd2Br8
1.0
-4.868 5.541 -4.984
-2.220 -5.292 4.234
4.240 8.021 4.775
Pd Ni Br
2 1 8
direct
0.101 0.201 0.406 Pd
0.899 0.799 0.594 Pd
0.000 0.000 0.000 Ni
0.358 0.716 0.517 Br
0.772 0.910 0.822 Br
0.157 0.314 0.678 Br
0.138 0.910 0.822 Br
0.843 0.686 0.322 Br
0.228 0.090 0.178 Br
0.642 0.284 0.483 Br
0.862 0.090 0.178 Br
```

## Properties
As for the space-group type: C2/m (12). The value obtained for the raw total energy is -31.55 eV per cell. The total magnetization is 0.38 μB per cell. As for the volume: 38.5 Å³/atom.



(7)
A plane-wave DFT calculation with PBE was carried out for an optimized crystal structure of Ni3PdBr.

POSCAR file:
```
Ni3PdBr
1.0
-0.157 -4.643 -0.201
4.430 -0.089 -1.410
1.404 -0.239 4.427
Br Pd Ni
1 1 3
direct
0.500 0.500 0.500 Br
0.000 0.000 0.000 Pd
0.000 0.500 0.000 Ni
0.000 0.000 0.500 Ni
0.500 0.000 0.000 Ni
```

## Properties
As for the space-group type: Pm-3m (221). The value obtained for the raw total energy is -18.36 eV per cell. The total magnetization is 3.06 μB per cell. As for the energy above the lowest structure with this stoichiometry: 341 meV/atom. As for the volume: 20.1 Å³/atom.



(8)
A plane-wave DFT calculation with PBE was carried out for an optimized crystal structure of Ni2PdBr.

POSCAR file:
```
Ni2PdBr
1.0
2.566 -2.934 1.909
2.253 1.071 3.552
-1.102 -1.666 3.853
Pd Br Ni
1 1 2
direct
0.500 0.500 0.500 Pd
0.000 0.000 0.000 Br
0.250 0.250 0.250 Ni
0.750 0.750 0.750 Ni
```

## Properties
As for the space-group type: Fm-3m (225). The value obtained for the raw total energy is -16.25 eV per cell. The total magnetization is 0.00 μB per cell. As for the energy above the lowest structure with this stoichiometry: 51 meV/atom. As for the volume: 14.4 Å³/atom.



(9)
A plane-wave DFT calculation with PBE was carried out for an optimized crystal structure of Ni2PdBr.

POSCAR file:
```
Ni2PdBr
1.0
-1.436 6.391 2.042
-6.318 -0.585 -2.612
-4.731 1.986 1.985
Ni Br Pd
4 2 2
direct
0.375 0.398 0.750 Ni
0.602 0.125 0.250 Ni
0.148 0.625 0.250 Ni
0.875 0.852 0.750 Ni
0.500 0.500 0.000 Br
0.250 0.750 0.500 Br
0.000 0.000 0.000 Pd
0.750 0.250 0.500 Pd
```

## Properties
As for the space-group type: I-42d (122). The value obtained for the raw total energy is -32.90 eV per cell. The total magnetization is 2.14 μB per cell. As for the energy above the lowest structure with this stoichiometry: 0 meV/atom. As for the volume: 15.3 Å³/atom.



(10)
A plane-wave DFT calculation with PBE was carried out for an optimized crystal structure of NiPdBr5.

POSCAR file:
```
NiPdBr5
1.0
-5.712 0.224 -3.350
2.299 -5.607 -2.680
-1.398 -2.849 9.719
Br Pd Ni
10 2 2
direct
0.708 0.167 0.846 Br
0.292 0.833 0.154 Br
0.018 0.768 0.750 Br
0.679 0.637 0.346 Br
0.285 0.251 0.973 Br
0.278 0.813 0.527 Br
0.715 0.749 0.027 Br
0.982 0.232 0.250 Br
0.321 0.363 0.654 Br
0.722 0.187 0.473 Br
0.000 0.500 0.500 Pd
0.000 0.000 0.000 Pd
0.298 0.048 0.750 Ni
0.702 0.952 0.250 Ni
```

## Properties
As for the space-group type: C2/c (15). The value obtained for the raw total energy is -41.96 eV per cell. The total magnetization is 3.40 μB per cell. As for the volume: 28.5 Å³/atom.



(11)
A plane-wave DFT calculation with PBE was carried out for an optimized crystal structure of NiPd2Br6.

POSCAR file:
```
NiPd2Br6
1.0
3.795 0.000 0.000
-1.898 6.608 -0.589
0.000 -0.085 10.564
Br Ni Pd
6 1 2
direct
0.891 0.782 0.300 Br
0.869 0.739 0.902 Br
0.601 0.201 0.417 Br
0.109 0.218 0.700 Br
0.131 0.261 0.098 Br
0.399 0.799 0.583 Br
0.000 0.000 0.500 Ni
0.291 0.582 0.779 Pd
0.709 0.418 0.221 Pd
```

## Properties
As for the space-group type: C2/m (12). The value obtained for the raw total energy is -27.06 eV per cell. The total magnetization is 0.03 μB per cell. As for the volume: 29.4 Å³/atom.



(12)
A plane-wave DFT calculation with PBE was carried out for an optimized crystal structure of NiPdBr2.

POSCAR file:
```
NiPdBr2
1.0
-3.523 -2.898 -3.716
4.507 -3.427 -1.601
-0.790 -6.707 1.322
Pd Br Ni
2 4 2
direct
0.750 0.250 0.500 Pd
0.000 0.000 0.000 Pd
0.875 0.843 0.750 Br
0.375 0.407 0.750 Br
0.593 0.125 0.250 Br
0.157 0.625 0.250 Br
0.500 0.500 0.000 Ni
0.250 0.750 0.500 Ni
```

## Properties
As for the space-group type: I-42d (122). The value obtained for the raw total energy is -27.86 eV per cell. The total magnetization is 2.38 μB per cell. As for the energy above the lowest structure with this stoichiometry: 0 meV/atom. As for the volume: 23.7 Å³/atom.



Please write out number 5 again, unchanged.
A plane-wave DFT calculation with PBE was carried out for an optimized crystal structure of Ni3PdBr.

POSCAR file:
```
Ni3PdBr
1.0
4.316 0.000 0.000
0.000 4.316 0.000
0.000 0.000 4.316
Ni Br Pd
3 1 1
direct
0.000 0.000 0.500 Ni
0.000 0.500 0.000 Ni
0.500 0.000 0.000 Ni
0.000 0.000 0.000 Br
0.500 0.500 0.500 Pd
```

## Properties
As for the space-group type: Pm-3m (221). The value obtained for the raw total energy is -20.07 eV per cell. The total magnetization is 0.65 μB per cell. As for the energy above the lowest structure with this stoichiometry: 0 meV/atom. As for the volume: 16.1 Å³/atom.